No. 1
A relaxed structure of Al2CoBr, computed with PBE-GGA.

Values from the calculation:
Space-group type   P2/m, No. 10
DOS(E_F)   1.37 states/eV/f.u.
Calculated volume   67.5 Å³/f.u.

Cell and atoms, written as POSCAR:
```
Al2CoBr
1.0
-1.977 2.266 0.409
-1.161 -0.514 -2.763
-7.125 -5.735 -2.654
Co Al Br
1 2 1
Cartesian
-7.203 -3.553 -3.858
-4.747 -3.560 -3.215
-7.681 -5.813 -4.910
-3.060 -0.429 -1.149
```


No. 2
A relaxed structure of AcSiGe, computed with PBE-GGA.

Values from the calculation:
Space-group type   F-43m, No. 216
DOS(E_F)   2.71 states/eV/f.u.
Calculated volume   85.7 Å³/f.u.

Cell and atoms, written as POSCAR:
```
AcSiGe
1.0
-3.678 -0.421 3.285
-0.344 -4.050 2.824
0.967 0.273 4.846
Si Ac Ge
1 1 1
Cartesian
0.000 0.000 0.000
-1.528 -2.099 5.478
-0.764 -1.050 2.739
```


No. 3
A relaxed structure of PH2Pd5, computed with PBE-GGA.

Values from the calculation:
Space-group type   Pmmn, No. 59
DOS(E_F)   2.56 states/eV/f.u.
Calculated volume   101.9 Å³/f.u.

Cell and atoms, written as POSCAR:
```
PH2Pd5
1.0
-0.488 -2.406 2.044
4.643 -1.033 -0.107
2.090 8.330 10.302
Pd H P
10 4 2
Cartesian
3.128 -0.415 2.755
4.606 1.065 4.850
2.429 7.204 9.058
5.105 3.055 7.310
4.486 5.001 9.453
0.838 0.864 1.217
2.585 2.565 6.132
2.559 2.852 8.960
2.859 -0.636 -0.066
1.828 -0.062 5.356
3.859 6.249 8.275
3.675 4.010 8.093
2.571 1.115 1.927
2.873 0.813 4.140
4.283 -2.210 0.918
1.161 4.139 5.148
```


Number 1: excess energy over the best structure of this formula in the dataset 0.0 kJ/mol of atoms, electronic total energy -17.11 eV for the cell shown. Number 2: excess energy over the best structure of this formula in the dataset 56.7 kJ/mol of atoms, electronic total energy -14.18 eV for the cell shown. Number 3: excess energy over the best structure of this formula in the dataset 0.0 kJ/mol of atoms, electronic total energy -78.88 eV for the cell shown.